Density functional theory data (PBE-GGA) for a relaxed structure of AgGeNO.

POSCAR file:
```
AgGeNO
1.0
3.244 -3.244 0.000
3.244 3.244 0.000
0.000 0.000 4.480
Ag Ge N O
2 2 2 2
direct
0.250 0.250 0.004
0.750 0.750 0.996
0.750 0.250 0.500
0.250 0.750 0.500
0.750 0.750 0.495
0.250 0.250 0.505
0.750 0.250 0.000
0.250 0.750 0.000
```

Calculated values
distance to the lowest polymorph of the same formula = 0.665 eV/atom
calculated volume = 11.8 Å³ per atom